Density functional theory data (GGA-PBE) for a relaxed structure of La3Pr3Pt2.

The energy comes out at -181.47 eV for the cell shown. The value obtained for the magnetic moment is 0.0 μB per formula unit. Its energy of formation is -0.521 eV per atom.

It has space group Cmcm (No. 63), with a = 3.9475 Å, b = 13.8324 Å, c = 19.2341 Å, α = 90.00°, β = 90.00° and γ = 90.00°. The inequivalent atoms are La at (0.0000, 0.0698, 0.2500), La at (0.0000, 0.1695, 0.5596), Pr at (0.0000, 0.2034, 0.7500), Pr at (0.0000, 0.4413, 0.5896) and Pt at (0.0000, 0.2120, 0.1359).